This record from Alexandria describes an optimized crystal structure of La7Pr12In. The functional is PBE.

Summary:
DFT formation energy = 2.38 eV/f.u.
spin magnetization = 0.00 μB/cell
mass density = 6.30 g/cm3

a = 9.0139 Å, b = 9.0139 Å, c = 9.0139 Å
α = 89.33°, β = 89.33°, γ = 89.33°
Sites, in units of the cell vectors:
La (0.0000, 0.0000, 0.0000)
La (0.1144, 0.2692, 0.7109)
La (0.2692, 0.7109, 0.1144)
La (0.2891, 0.8856, 0.7308)
La (0.7109, 0.1144, 0.2692)
La (0.7308, 0.2891, 0.8856)
La (0.8856, 0.7308, 0.2891)
Pr (0.0450, 0.3797, 0.1550)
Pr (0.1550, 0.0450, 0.3797)
Pr (0.1654, 0.6145, 0.4958)
Pr (0.3797, 0.1550, 0.0450)
Pr (0.3855, 0.5042, 0.8346)
Pr (0.4958, 0.1654, 0.6145)
Pr (0.5042, 0.8346, 0.3855)
Pr (0.6145, 0.4958, 0.1654)
Pr (0.6203, 0.8450, 0.9550)
Pr (0.8346, 0.3855, 0.5042)
Pr (0.8450, 0.9550, 0.6203)
Pr (0.9550, 0.6203, 0.8450)
In (0.5000, 0.5000, 0.5000)



This record from Alexandria describes an optimized crystal structure of ZnN. The functional is PBE.

Summary:
spin magnetization = 3.73 μB/cell
energy above the lowest structure with this stoichiometry = 468 meV per atom
mass density = 4.41 g/cm3
formation energy from raw total energies = 696 meV per atom

a = 5.6405 Å, b = 5.6405 Å, c = 5.6405 Å
α = 90.00°, β = 90.00°, γ = 90.00°
Sites, in units of the cell vectors:
Zn (0.0000, 0.2500, 0.5000)
Zn (0.0000, 0.7500, 0.5000)
Zn (0.2500, 0.5000, 0.0000)
Zn (0.5000, 0.0000, 0.2500)
Zn (0.5000, 0.0000, 0.7500)
Zn (0.7500, 0.5000, 0.0000)
N (0.0000, 0.5000, 0.2500)
N (0.0000, 0.5000, 0.7500)
N (0.2500, 0.0000, 0.5000)
N (0.5000, 0.2500, 0.0000)
N (0.5000, 0.7500, 0.0000)
N (0.7500, 0.0000, 0.5000)



This record from Alexandria describes an optimized crystal structure of Ca3MgP. The functional is PBE.

Summary:
DFT formation energy = -2.25 eV/f.u.
spin magnetization = 0.00 μB/cell
energy above the lowest structure with this stoichiometry = 117 meV per atom
mass density = 1.99 g/cm3

a = 9.3170 Å, b = 6.1273 Å, c = 11.0721 Å
α = 90.00°, β = 111.84°, γ = 90.00°
Sites, in units of the cell vectors:
Ca (0.0052, 0.1467, 0.3572)
Ca (0.0052, 0.3533, 0.8572)
Ca (0.2348, 0.0776, 0.1508)
Ca (0.2348, 0.4224, 0.6508)
Ca (0.3780, 0.5812, 0.0742)
Ca (0.3780, 0.9188, 0.5742)
Ca (0.6220, 0.0812, 0.4258)
Ca (0.6220, 0.4188, 0.9258)
Ca (0.7652, 0.5776, 0.3492)
Ca (0.7652, 0.9224, 0.8492)
Ca (0.9948, 0.6467, 0.1428)
Ca (0.9948, 0.8533, 0.6428)
Mg (0.3463, 0.0103, 0.8767)
Mg (0.3463, 0.4897, 0.3767)
Mg (0.6537, 0.5103, 0.6233)
Mg (0.6537, 0.9897, 0.1233)
P (0.0995, 0.6886, 0.4204)
P (0.0995, 0.8114, 0.9204)
P (0.9005, 0.1886, 0.0796)
P (0.9005, 0.3114, 0.5796)



This record from Alexandria describes an optimized crystal structure of Rb3SiPd. The functional is PBE.

Summary:
spin magnetization = 2.99 μB/cell
energy above the lowest structure with this stoichiometry = 0 meV per atom
mass density = 2.47 g/cm3
formation energy from raw total energies = 533 meV per atom

a = 6.4026 Å, b = 6.4026 Å, c = 6.4026 Å
α = 90.00°, β = 90.00°, γ = 90.00°
Sites, in units of the cell vectors:
Rb (0.0000, 0.0000, 0.5000)
Rb (0.0000, 0.5000, 0.0000)
Rb (0.5000, 0.0000, 0.0000)
Si (0.5000, 0.5000, 0.5000)
Pd (0.0000, 0.0000, 0.0000)



This record from Alexandria describes an optimized crystal structure of ZrHgSe. The functional is PBE.

Summary:
spin magnetization = 0.00 μB/cell
energy above the lowest structure with this stoichiometry = 68 meV per atom
mass density = 8.11 g/cm3
formation energy from raw total energies = -551 meV per atom

a = 3.6306 Å, b = 3.6306 Å, c = 6.6468 Å
α = 90.00°, β = 90.00°, γ = 120.00°
Sites, in units of the cell vectors:
Zr (0.0000, 0.0000, 0.0000)
Hg (0.6667, 0.3333, 0.3251)
Se (0.3333, 0.6667, 0.7540)



This record from Alexandria describes an optimized crystal structure of RbMn2ZnCl. The functional is PBE.

Summary:
spin magnetization = 10.00 μB/cell
energy above the lowest structure with this stoichiometry = 645 meV per atom
mass density = 1.55 g/cm3
formation energy from raw total energies = 1363 meV per atom

a = 6.9197 Å, b = 6.9197 Å, c = 6.6083 Å
α = 90.00°, β = 90.00°, γ = 90.00°
Sites, in units of the cell vectors:
Rb (0.0000, 0.0000, 0.0000)
Mn (0.0000, 0.5000, 0.0000)
Mn (0.5000, 0.0000, 0.0000)
Zn (0.0000, 0.0000, 0.5000)
Cl (0.5000, 0.5000, 0.5000)



This record from Alexandria describes an optimized crystal structure of NdYPbO2. The functional is PBE.

Summary:
spin magnetization = 0.00 μB/cell
mass density = 7.06 g/cm3
formation energy from raw total energies = -2473 meV per atom

a = 3.9258 Å, b = 3.9258 Å, c = 14.4107 Å
α = 90.00°, β = 90.00°, γ = 90.00°
Sites, in units of the cell vectors:
Nd (0.0000, 0.0000, 0.0000)
Nd (0.5000, 0.5000, 0.5000)
Y (0.0000, 0.0000, 0.3389)
Y (0.5000, 0.5000, 0.8389)
Pb (0.0000, 0.0000, 0.6705)
Pb (0.5000, 0.5000, 0.1705)
O (0.0000, 0.5000, 0.4140)
O (0.0000, 0.5000, 0.9140)
O (0.5000, 0.0000, 0.4140)
O (0.5000, 0.0000, 0.9140)



This record from Alexandria describes an optimized crystal structure of Li3BeP. The functional is PBE.

Summary:
DFT formation energy = 2.45 eV/f.u.
spin magnetization = 0.00 μB/cell
energy above the lowest structure with this stoichiometry = 317 meV per atom
mass density = 1.25 g/cm3

a = 4.3274 Å, b = 4.3274 Å, c = 4.3274 Å
α = 90.00°, β = 90.00°, γ = 90.00°
Sites, in units of the cell vectors:
Li (0.0000, 0.0000, 0.5000)
Li (0.0000, 0.5000, 0.0000)
Li (0.5000, 0.0000, 0.0000)
Be (0.0000, 0.0000, 0.0000)
P (0.5000, 0.5000, 0.5000)